[1]
Material: Pr4HgTe2Se
Method: DFT, PBE-GGA
State: optimized geometry

## Properties
**Uncorrected energy**: -4.952 eV per atom
**Calculated volume**: 31.3 Å³ per atom
**Raw formation energy**: -1.3038 eV/atom
**M_tot**: 0.000 μB per atom

Lattice parameters (Å, degrees): 7.756 4.373 7.799 90.00 108.57 90.00
Space group P2/m (No. 10)
One atom of each set of equivalent atoms:
Pr1 0.239 0.000 0.233
Pr2 0.251 0.500 0.760
Hg1 0.500 0.000 0.000
Te1 0.000 0.000 0.500
Te2 0.500 0.500 0.500
Se1 0.000 0.500 0.000

***

[2]
Material: Pr6Hg3TeSe2
Method: DFT, PBE-GGA
State: optimized geometry

## Properties
**Uncorrected energy**: -4.361 eV per atom
**Calculated volume**: 30.7 Å³ per atom
**Raw formation energy**: -1.0536 eV/atom
**M_tot**: 0.000 μB per atom

Lattice parameters (Å, degrees): 19.801 4.270 9.207 90.00 108.74 90.00
Space group C2/m (No. 12)
One atom of each set of equivalent atoms:
Pr1 0.008 0.000 0.253
Pr2 0.168 0.500 0.097
Pr3 0.171 0.500 0.567
Hg1 0.000 0.500 0.500
Hg2 0.162 0.000 0.825
Te1 0.000 0.500 0.000
Se1 0.169 0.000 0.331